# RbBi PBE optimized geometry
data_RbBi
_cell_length_a 12.8151
_cell_length_b 12.8151
_cell_length_c 4.7963
_cell_angle_alpha 90.00
_cell_angle_beta 90.00
_cell_angle_gamma 120.00
_symmetry_space_group_name_H-M 'P 63/m m c'
_symmetry_Int_Tables_number 194
_symmetry_space_group_name_Hall '-P 6c 2c'
loop_
_atom_site_label
_atom_site_fract_x
_atom_site_fract_y
_atom_site_fract_z
Rb1 0.1920 0.3840 0.2500
Bi1 0.0887 0.5444 0.7500
# Spin magnetization, Bohr magnetons per cell: 0.020
# Crystal system: hexagonal
# DFT formation energy, meV per atom: -226
# ΔE to the lowest computed polymorph, eV/atom: 0.128
# N(E_F), states/eV per cell: 7.35



# Ta2SiTe PBE optimized geometry
data_Ta2SiTe
_cell_length_a 9.162
_cell_length_b 3.401
_cell_length_c 4.867
_cell_angle_alpha 90.00
_cell_angle_beta 93.50
_cell_angle_gamma 90.00
_symmetry_space_group_name_H-M 'C 1 2/m 1'
_symmetry_Int_Tables_number 12
_symmetry_space_group_name_Hall '-C 2y'
loop_
_atom_site_label
_atom_site_fract_x
_atom_site_fract_y
_atom_site_fract_z
Ta1 0.241 0.000 0.270
Si1 0.000 0.000 0.500
Te1 0.000 0.500 0.000
# Uncorrected formation energy, eV per atom: 0.187
# Spin magnetization, Bohr magnetons per cell: 0.000
# Crystal system: monoclinic
# ΔE to the lowest computed polymorph, eV/atom: 0.362
# N(E_F), states/eV per cell: 4.06



- Look up the ΔE to the lowest computed polymorph of the first one.
  0.128 eV/atom



- Which value of N(E_F) does entry 1 give?
  7.35 states/eV per cell



- What is the spin magnetization in the second record?
  0.000 Bohr magnetons per cell